--- w ---
A plane-wave DFT calculation with PBE was carried out for crystalline Tl2SbAu at its relaxed geometry.

Calculated values
Its space group is P4mm. As for the magnetic moment: 0.00 μB/f.u. The value obtained for the calculated density is 10.9 g cm⁻³.

a b c (Å): 3.596 3.596 8.547
angles (deg): 90.00 90.00 90.00
Element x y z (fractional)
Tl (0.000, 0.000, 0.000)
Tl (0.500, 0.500, 0.316)
Sb (0.500, 0.500, 0.722)
Au (0.000, 0.000, 0.546)

***

--- x ---
A plane-wave DFT calculation with PBE was carried out for crystalline Tl2SbAu at its relaxed geometry.

Calculated values
Its space group is R3m. As for the magnetic moment: 0.00 μB/f.u. The value obtained for the calculated density is 10.4 g cm⁻³.

a b c (Å): 6.684 6.684 6.684
angles (deg): 41.13 41.13 41.13
Element x y z (fractional)
Tl (0.000, 0.000, 0.000)
Tl (0.190, 0.190, 0.190)
Sb (0.758, 0.758, 0.758)
Au (0.599, 0.599, 0.599)

***

--- y ---
A plane-wave DFT calculation with PBE was carried out for crystalline Tl2SbAu at its relaxed geometry.

Calculated values
Its space group is P2/m. As for the magnetic moment: 0.00 μB/f.u. The value obtained for the calculated density is 11.2 g cm⁻³.

a b c (Å): 3.233 5.669 5.910
angles (deg): 90.00 91.13 90.00
Element x y z (fractional)
Tl (0.203, 0.000, 0.256)
Tl (0.797, 0.000, 0.744)
Sb (0.500, 0.500, 0.000)
Au (0.500, 0.500, 0.500)

***

What should be chosen as the most stable of them? Choose w.

***

--- w ---
A plane-wave DFT calculation with PBE was carried out for crystalline Tl2SbAu at its relaxed geometry.

Calculated values
Its space group is Cm. As for the magnetic moment: 0.00 μB/f.u. The value obtained for the calculated density is 9.7 g cm⁻³.

a b c (Å): 4.707 4.707 7.062
angles (deg): 109.51 109.51 60.08
Element x y z (fractional)
Tl (0.000, 0.000, 0.000)
Tl (0.212, 0.212, 0.637)
Sb (0.769, 0.769, 0.305)
Au (0.452, 0.452, 0.358)

***

--- x ---
A plane-wave DFT calculation with PBE was carried out for crystalline Tl2SbAu at its relaxed geometry.

Calculated values
Its space group is F-43m. As for the magnetic moment: 0.00 μB/f.u. The value obtained for the calculated density is 11.4 g cm⁻³.

a b c (Å): 5.310 5.310 5.310
angles (deg): 60.00 60.00 60.00
Element x y z (fractional)
Tl (0.000, 0.000, 0.000)
Tl (0.250, 0.250, 0.250)
Sb (0.750, 0.750, 0.750)
Au (0.500, 0.500, 0.500)

***

What should be chosen as the most stable of them? Choose w.

***

--- w ---
A plane-wave DFT calculation with PBE was carried out for crystalline Tl2SbAu at its relaxed geometry.

Calculated values
Its space group is Imm2. As for the magnetic moment: 0.00 μB/f.u. The value obtained for the calculated density is 10.9 g cm⁻³.

a b c (Å): 6.617 6.617 6.617
angles (deg): 149.14 131.39 58.70
Element x y z (fractional)
Tl (0.000, 0.000, 0.000)
Tl (0.701, 0.201, 0.500)
Sb (0.287, 0.787, 0.500)
Au (0.478, 0.478, 0.000)

***

--- x ---
A plane-wave DFT calculation with PBE was carried out for crystalline Tl2SbAu at its relaxed geometry.

Calculated values
Its space group is Fm-3m. As for the magnetic moment: 0.00 μB/f.u. The value obtained for the calculated density is 11.2 g cm⁻³.

a b c (Å): 5.342 5.342 5.342
angles (deg): 60.00 60.00 60.00
Element x y z (fractional)
Tl (0.250, 0.250, 0.250)
Tl (0.750, 0.750, 0.750)
Sb (0.000, 0.000, 0.000)
Au (0.500, 0.500, 0.500)

***

--- y ---
A plane-wave DFT calculation with PBE was carried out for crystalline Tl2SbAu at its relaxed geometry.

Calculated values
Its space group is Pm. As for the magnetic moment: 0.00 μB/f.u. The value obtained for the calculated density is 10.9 g cm⁻³.

a b c (Å): 3.548 4.560 7.055
angles (deg): 90.00 102.82 90.00
Element x y z (fractional)
Tl (0.000, 0.000, 0.000)
Tl (0.332, 0.500, 0.691)
Sb (0.705, 0.000, 0.428)
Au (0.582, 0.500, 0.198)

***

What should be chosen as the most stable of them? Choose y.

***

--- w ---
A plane-wave DFT calculation with PBE was carried out for crystalline TlSbAu3 at its relaxed geometry.

Calculated values
Its space group is Cmcm. As for the magnetic moment: 0.00 μB/f.u. The value obtained for the calculated density is 12.9 g cm⁻³.

a b c (Å): 8.499 8.499 6.001
angles (deg): 90.00 90.00 147.10
Element x y z (fractional)
Tl (0.096, 0.904, 0.750)
Tl (0.904, 0.096, 0.250)
Sb (0.446, 0.554, 0.750)
Sb (0.554, 0.446, 0.250)
Au (0.146, 0.854, 0.250)
Au (0.301, 0.699, 0.011)
Au (0.301, 0.699, 0.489)
Au (0.699, 0.301, 0.511)
Au (0.699, 0.301, 0.989)
Au (0.854, 0.146, 0.750)

***

--- x ---
A plane-wave DFT calculation with PBE was carried out for crystalline TlSbAu3 at its relaxed geometry.

Calculated values
Its space group is P2_1/c. As for the magnetic moment: 0.00 μB/f.u. The value obtained for the calculated density is 12.8 g cm⁻³.

a b c (Å): 7.544 6.999 9.017
angles (deg): 90.00 94.28 90.00
Element x y z (fractional)
Tl (0.042, 0.109, 0.193)
Tl (0.042, 0.391, 0.693)
Tl (0.958, 0.609, 0.307)
Tl (0.958, 0.891, 0.807)
Sb (0.356, 0.682, 0.571)
Sb (0.356, 0.818, 0.071)
Sb (0.644, 0.182, 0.929)
Sb (0.644, 0.318, 0.429)
Au (0.175, 0.044, 0.558)
Au (0.175, 0.456, 0.058)
Au (0.282, 0.124, 0.875)
Au (0.282, 0.376, 0.375)
Au (0.437, 0.534, 0.848)
Au (0.437, 0.966, 0.348)
Au (0.563, 0.034, 0.652)
Au (0.563, 0.466, 0.152)
Au (0.718, 0.624, 0.625)
Au (0.718, 0.876, 0.125)
Au (0.825, 0.544, 0.942)
Au (0.825, 0.956, 0.442)

***

What should be chosen as the most stable of them? Choose w.

***

--- w ---
A plane-wave DFT calculation with PBE was carried out for crystalline Tm4SbAu at its relaxed geometry.

Calculated values
Its space group is Pnma. As for the magnetic moment: 1.17 μB/f.u. The value obtained for the calculated density is 10.4 g cm⁻³.

a b c (Å): 8.189 4.043 19.139
angles (deg): 90.00 90.00 90.00
Element x y z (fractional)
Tm (0.007, 0.250, 0.070)
Tm (0.031, 0.250, 0.784)
Tm (0.133, 0.250, 0.559)
Tm (0.146, 0.250, 0.345)
Tm (0.354, 0.750, 0.845)
Tm (0.367, 0.750, 0.059)
Tm (0.469, 0.750, 0.284)
Tm (0.493, 0.750, 0.570)
Tm (0.507, 0.250, 0.430)
Tm (0.531, 0.250, 0.716)
Tm (0.633, 0.250, 0.941)
Tm (0.646, 0.250, 0.155)
Tm (0.854, 0.750, 0.655)
Tm (0.867, 0.750, 0.441)
Tm (0.969, 0.750, 0.216)
Tm (0.993, 0.750, 0.930)
Sb (0.230, 0.750, 0.687)
Sb (0.270, 0.250, 0.187)
Sb (0.730, 0.750, 0.813)
Sb (0.770, 0.250, 0.313)
Au (0.245, 0.750, 0.447)
Au (0.255, 0.250, 0.947)
Au (0.745, 0.750, 0.053)
Au (0.755, 0.250, 0.553)

***

--- x ---
A plane-wave DFT calculation with PBE was carried out for crystalline Tm4SbAu at its relaxed geometry.

Calculated values
Its space group is P2_1/c. As for the magnetic moment: 0.00 μB/f.u. The value obtained for the calculated density is 9.1 g cm⁻³.

a b c (Å): 7.088 7.151 7.144
angles (deg): 90.00 90.48 90.00
Element x y z (fractional)
Tm (0.142, 0.164, 0.168)
Tm (0.142, 0.336, 0.668)
Tm (0.338, 0.645, 0.143)
Tm (0.338, 0.855, 0.643)
Tm (0.662, 0.145, 0.357)
Tm (0.662, 0.355, 0.857)
Tm (0.858, 0.664, 0.332)
Tm (0.858, 0.836, 0.832)
Sb (0.500, 0.000, 0.000)
Sb (0.500, 0.500, 0.500)
Au (0.000, 0.000, 0.500)
Au (0.000, 0.500, 0.000)

***

What should be chosen as the most stable of them? Choose w.

***

--- w ---
A plane-wave DFT calculation with PBE was carried out for crystalline VSbAu3 at its relaxed geometry.

Calculated values
Its space group is Pm-3m. As for the magnetic moment: 2.66 μB/f.u. The value obtained for the calculated density is 10.5 g cm⁻³.

a b c (Å): 4.944 4.944 4.944
angles (deg): 90.00 90.00 90.00
Element x y z (fractional)
V (0.000, 0.000, 0.000)
Sb (0.500, 0.500, 0.500)
Au (0.000, 0.000, 0.500)
Au (0.000, 0.500, 0.000)
Au (0.500, 0.000, 0.000)

***

--- x ---
A plane-wave DFT calculation with PBE was carried out for crystalline VSbAu3 at its relaxed geometry.

Calculated values
Its space group is Pm-3m. As for the magnetic moment: 3.83 μB/f.u. The value obtained for the calculated density is 9.2 g cm⁻³.

a b c (Å): 5.170 5.170 5.170
angles (deg): 90.00 90.00 90.00
Element x y z (fractional)
V (0.000, 0.000, 0.000)
Sb (0.500, 0.500, 0.500)
Au (0.000, 0.500, 0.500)
Au (0.500, 0.000, 0.500)
Au (0.500, 0.500, 0.000)

***

What should be chosen as the most stable of them? Choose w.

***

--- w ---
A plane-wave DFT calculation with PBE was carried out for crystalline SbW2Au2 at its relaxed geometry.

Calculated values
Its space group is P4/mbm. As for the magnetic moment: 0.00 μB/f.u. The value obtained for the calculated density is 14.9 g cm⁻³.

a b c (Å): 8.325 8.325 2.835
angles (deg): 90.00 90.00 90.00
Element x y z (fractional)
Sb (0.000, 0.000, 0.000)
Sb (0.500, 0.500, 0.000)
W (0.106, 0.394, 0.500)
W (0.394, 0.894, 0.500)
W (0.606, 0.106, 0.500)
W (0.894, 0.606, 0.500)
Au (0.185, 0.685, 0.000)
Au (0.315, 0.185, 0.000)
Au (0.685, 0.815, 0.000)
Au (0.815, 0.315, 0.000)

***

--- x ---
A plane-wave DFT calculation with PBE was carried out for crystalline SbW2Au2 at its relaxed geometry.

Calculated values
Its space group is I4/mmm. As for the magnetic moment: 0.00 μB/f.u. The value obtained for the calculated density is 14.8 g cm⁻³.

a b c (Å): 7.626 7.626 7.626
angles (deg): 151.73 151.73 40.41
Element x y z (fractional)
Sb (0.000, 0.000, 0.000)
W (0.250, 0.750, 0.500)
W (0.750, 0.250, 0.500)
Au (0.400, 0.400, 0.000)
Au (0.600, 0.600, 0.000)

***

What should be chosen as the most stable of them? Choose x.

***

--- w ---
A plane-wave DFT calculation with PBE was carried out for crystalline SbWAu at its relaxed geometry.

Calculated values
Its space group is Fmm2. As for the magnetic moment: 0.00 μB/f.u. The value obtained for the calculated density is 12.4 g cm⁻³.

a b c (Å): 7.824 7.815 2.990
angles (deg): 79.14 78.82 22.05
Element x y z (fractional)
Sb (0.000, 0.000, 0.000)
W (0.636, 0.636, 0.364)
Au (0.258, 0.258, 0.742)

***

--- x ---
A plane-wave DFT calculation with PBE was carried out for crystalline SbWAu at its relaxed geometry.

Calculated values
Its space group is P3m1. As for the magnetic moment: 0.00 μB/f.u. The value obtained for the calculated density is 14.2 g cm⁻³.

a b c (Å): 3.176 3.176 6.727
angles (deg): 90.00 90.00 120.00
Element x y z (fractional)
Sb (0.000, 0.000, 0.000)
W (0.667, 0.333, 0.313)
Au (0.333, 0.667, 0.630)

***

--- y ---
A plane-wave DFT calculation with PBE was carried out for crystalline SbWAu at its relaxed geometry.

Calculated values
Its space group is F-43m. As for the magnetic moment: 0.00 μB/f.u. The value obtained for the calculated density is 13.0 g cm⁻³.

a b c (Å): 4.499 4.499 4.499
angles (deg): 60.00 60.00 60.00
Element x y z (fractional)
Sb (0.000, 0.000, 0.000)
W (0.250, 0.250, 0.250)
Au (0.750, 0.750, 0.750)

***

What should be chosen as the most stable of them? Choose x.

***

--- w ---
A plane-wave DFT calculation with PBE was carried out for crystalline Sb2W2Au at its relaxed geometry.

Calculated values
Its space group is I4/mmm. As for the magnetic moment: 0.00 μB/f.u. The value obtained for the calculated density is 11.6 g cm⁻³.

a b c (Å): 6.061 6.061 6.061
angles (deg): 133.28 133.28 68.22
Element x y z (fractional)
Sb (0.250, 0.750, 0.500)
Sb (0.750, 0.250, 0.500)
W (0.117, 0.117, 0.000)
W (0.883, 0.883, 0.000)
Au (0.500, 0.500, 0.000)

***

--- x ---
A plane-wave DFT calculation with PBE was carried out for crystalline Sb2W2Au at its relaxed geometry.

Calculated values
Its space group is P4/mbm. As for the magnetic moment: 0.00 μB/f.u. The value obtained for the calculated density is 13.7 g cm⁻³.

a b c (Å): 7.407 7.407 3.570
angles (deg): 90.00 90.00 90.00
Element x y z (fractional)
Sb (0.160, 0.340, 0.000)
Sb (0.340, 0.840, 0.000)
Sb (0.660, 0.160, 0.000)
Sb (0.840, 0.660, 0.000)
W (0.134, 0.634, 0.500)
W (0.366, 0.134, 0.500)
W (0.634, 0.866, 0.500)
W (0.866, 0.366, 0.500)
Au (0.000, 0.000, 0.500)
Au (0.500, 0.500, 0.500)

***

What should be chosen as the most stable of them? Choose x.

***

--- w ---
A plane-wave DFT calculation with PBE was carried out for crystalline Y2SbAu2 at its relaxed geometry.

Calculated values
Its space group is P4/mbm. As for the magnetic moment: 0.00 μB/f.u. The value obtained for the calculated density is 9.5 g cm⁻³.

a b c (Å): 7.721 7.721 4.055
angles (deg): 90.00 90.00 90.00
Element x y z (fractional)
Y (0.171, 0.329, 0.000)
Y (0.329, 0.829, 0.000)
Y (0.671, 0.171, 0.000)
Y (0.829, 0.671, 0.000)
Sb (0.000, 0.000, 0.500)
Sb (0.500, 0.500, 0.500)
Au (0.128, 0.628, 0.500)
Au (0.372, 0.128, 0.500)
Au (0.628, 0.872, 0.500)
Au (0.872, 0.372, 0.500)

***

--- x ---
A plane-wave DFT calculation with PBE was carried out for crystalline Y2SbAu2 at its relaxed geometry.

Calculated values
Its space group is I4/mmm. As for the magnetic moment: 0.00 μB/f.u. The value obtained for the calculated density is 8.3 g cm⁻³.

a b c (Å): 6.370 6.370 6.370
angles (deg): 132.44 132.44 69.54
Element x y z (fractional)
Y (0.250, 0.750, 0.500)
Y (0.750, 0.250, 0.500)
Sb (0.000, 0.000, 0.000)
Au (0.374, 0.374, 0.000)
Au (0.626, 0.626, 0.000)

***

--- y ---
A plane-wave DFT calculation with PBE was carried out for crystalline Y2SbAu2 at its relaxed geometry.

Calculated values
Its space group is I4/mmm. As for the magnetic moment: 0.00 μB/f.u. The value obtained for the calculated density is 9.1 g cm⁻³.

a b c (Å): 8.688 8.688 8.688
angles (deg): 153.92 153.92 37.21
Element x y z (fractional)
Y (0.107, 0.107, 0.000)
Y (0.893, 0.893, 0.000)
Sb (0.500, 0.500, 0.000)
Au (0.250, 0.750, 0.500)
Au (0.750, 0.250, 0.500)

***

What should be chosen as the most stable of them? Choose w.

***

--- w ---
A plane-wave DFT calculation with PBE was carried out for crystalline Y2Sb2Au at its relaxed geometry.

Calculated values
Its space group is P4/mbm. As for the magnetic moment: 0.00 μB/f.u. The value obtained for the calculated density is 7.8 g cm⁻³.

a b c (Å): 7.935 7.935 4.171
angles (deg): 90.00 90.00 90.00
Element x y z (fractional)
Y (0.156, 0.344, 0.000)
Y (0.344, 0.844, 0.000)
Y (0.656, 0.156, 0.000)
Y (0.844, 0.656, 0.000)
Sb (0.154, 0.654, 0.500)
Sb (0.346, 0.154, 0.500)
Sb (0.654, 0.846, 0.500)
Sb (0.846, 0.346, 0.500)
Au (0.000, 0.000, 0.500)
Au (0.500, 0.500, 0.500)

***

--- x ---
A plane-wave DFT calculation with PBE was carried out for crystalline Y2Sb2Au at its relaxed geometry.

Calculated values
Its space group is P4/mbm. As for the magnetic moment: 0.00 μB/f.u. The value obtained for the calculated density is 7.5 g cm⁻³.

a b c (Å): 8.023 8.023 4.281
angles (deg): 90.00 90.00 90.00
Element x y z (fractional)
Y (0.166, 0.334, 0.000)
Y (0.334, 0.834, 0.000)
Y (0.666, 0.166, 0.000)
Y (0.834, 0.666, 0.000)
Sb (0.139, 0.639, 0.500)
Sb (0.361, 0.139, 0.500)
Sb (0.639, 0.861, 0.500)
Sb (0.861, 0.361, 0.500)
Au (0.000, 0.000, 0.000)
Au (0.500, 0.500, 0.000)

***

What should be chosen as the most stable of them? Choose w.